Entry from the Alexandria database: a geometry-optimized VAu3O structure (PBE with a Hubbard U).

The total magnetization is 3.5 μB per formula unit. The value obtained for the total energy is -3.828 eV/atom. Its density of states at the Fermi level is 3.7 states/eV per cell.

Unit cell a=4.5123 b=4.5123 c=4.5123 alpha=90.00 beta=90.00 gamma=90.00
Last column: nearest neighbours and their distance in Å.
Element x y z (fractional)
V  0.0000  0.0000  0.0000  12 Au 3.19
Au  0.0000  0.5000  0.5000  2 O 2.26
Au  0.5000  0.0000  0.5000  2 O 2.26
Au  0.5000  0.5000  0.0000  2 O 2.26
O  0.5000  0.5000  0.5000  6 Au 2.26


Entry from the Alexandria database: a geometry-optimized VAuO3 structure (PBE with a Hubbard U).

The total magnetization is 0.0 μB per formula unit. The value obtained for the total energy is -5.930 eV/atom. Its density of states at the Fermi level is 2.3 states/eV per cell.

Unit cell a=3.8364 b=3.8364 c=3.8364 alpha=90.00 beta=90.00 gamma=90.00
Last column: nearest neighbours and their distance in Å.
Element x y z (fractional)
V  0.0000  0.0000  0.0000  6 O 1.92
Au  0.5000  0.5000  0.5000  12 O 2.71
O  0.0000  0.0000  0.5000  2 V 1.92
O  0.0000  0.5000  0.0000  2 V 1.92
O  0.5000  0.0000  0.0000  2 V 1.92


Entry from the Alexandria database: a geometry-optimized V3AuO structure (PBE with a Hubbard U).

The total magnetization is 11.6 μB per formula unit. The value obtained for the total energy is -4.359 eV/atom. Its density of states at the Fermi level is 3.5 states/eV per cell.

Unit cell a=5.1645 b=5.1645 c=5.1645 alpha=90.00 beta=90.00 gamma=90.00
Last column: nearest neighbours and their distance in Å.
Element x y z (fractional)
V  0.0000  0.0000  0.5000  2 Au 2.58
V  0.0000  0.5000  0.0000  2 Au 2.58
V  0.5000  0.0000  0.0000  2 Au 2.58
Au  0.0000  0.0000  0.0000  6 V 2.58
O  0.5000  0.5000  0.5000  12 V 3.65


Entry from the Alexandria database: a geometry-optimized VAuO3 structure (PBE with a Hubbard U).

The total magnetization is 2.5 μB per formula unit. The value obtained for the total energy is -4.833 eV/atom. Its density of states at the Fermi level is 5.6 states/eV per cell.

Unit cell a=4.0642 b=4.0642 c=4.0642 alpha=90.00 beta=90.00 gamma=90.00
Last column: nearest neighbours and their distance in Å.
Element x y z (fractional)
V  0.0000  0.0000  0.0000  12 O 2.87
Au  0.5000  0.5000  0.5000  6 O 2.03
O  0.0000  0.5000  0.5000  2 Au 2.03
O  0.5000  0.0000  0.5000  2 Au 2.03
O  0.5000  0.5000  0.0000  2 Au 2.03


Entry from the Alexandria database: a geometry-optimized V2AuO structure (PBE with a Hubbard U).

The total magnetization is 5.9 μB per formula unit. The value obtained for the total energy is -6.142 eV/atom. Its density of states at the Fermi level is 7.8 states/eV per cell.

Unit cell a=6.2100 b=6.2100 c=6.8574 alpha=90.00 beta=90.00 gamma=90.00
Last column: nearest neighbours and their distance in Å.
Element x y z (fractional)
V  0.1523  0.2500  0.1250  2 O 2.01
V  0.2500  0.6523  0.3750  2 O 2.01
V  0.2500  0.8477  0.8750  2 O 2.01
V  0.3477  0.2500  0.6250  2 O 2.01
V  0.6523  0.7500  0.6250  2 O 2.01
V  0.7500  0.1523  0.8750  2 O 2.01
V  0.7500  0.3477  0.3750  2 O 2.01
V  0.8477  0.7500  0.1250  2 O 2.01
Au  0.0000  0.0000  0.5000  4 V 2.79
Au  0.0000  0.5000  0.7500  4 V 2.79
Au  0.5000  0.0000  0.2500  4 V 2.79
Au  0.5000  0.5000  0.0000  4 V 2.79
O  0.0000  0.0000  0.0000  4 V 2.01
O  0.0000  0.5000  0.2500  4 V 2.01
O  0.5000  0.0000  0.7500  4 V 2.01
O  0.5000  0.5000  0.5000  4 V 2.01


Entry from the Alexandria database: a geometry-optimized V3AuO9 structure (PBE with a Hubbard U).

The total magnetization is 0.0 μB per formula unit. The value obtained for the total energy is -6.833 eV/atom.

Unit cell a=8.0541 b=8.0541 c=10.2247 alpha=119.05 beta=119.05 gamma=56.16
Last column: nearest neighbours and their distance in Å.
Element x y z (fractional)
V  0.0060  0.9940  0.5000  4 O 1.72-1.76
V  0.2591  0.5354  0.5929  3 O 1.62-1.80
V  0.4661  0.7422  0.4095  3 O 1.62-1.81
V  0.5354  0.2591  0.0929  3 O 1.62-1.80
V  0.7422  0.4661  0.9095  3 O 1.62-1.81
V  0.9940  0.0060  0.0000  4 O 1.72-1.76
Au  0.0008  0.4997  0.7503  4 O 1.99-2.01
Au  0.4997  0.0008  0.2503  4 O 1.99-2.01
O  0.0192  0.7733  0.8515  1 V 1.72
O  0.0922  0.8098  0.5905  2 V 1.76-1.85
O  0.1142  0.4264  0.5831  1 V 1.76
O  0.1905  0.9065  0.4092  2 V 1.76-1.85
O  0.2261  0.9826  0.1488  1 V 1.72
O  0.3159  0.4075  0.4285  1 V 1.62
O  0.4075  0.3159  0.9285  1 V 1.62
O  0.4264  0.1142  0.0831  1 V 1.76
O  0.4994  0.5028  0.7523  2 V 1.80-1.81
O  0.5028  0.4994  0.2523  2 V 1.80-1.81
O  0.5728  0.8880  0.4177  1 V 1.76
O  0.5932  0.6894  0.5755  1 V 1.62
O  0.6894  0.5932  0.0755  1 V 1.62
O  0.7733  0.0192  0.3515  1 V 1.72
O  0.8098  0.0922  0.0905  2 V 1.76-1.85
O  0.8880  0.5728  0.9177  1 V 1.76
O  0.9065  0.1905  0.9092  2 V 1.76-1.85
O  0.9826  0.2261  0.6488  1 V 1.72


Entry from the Alexandria database: a geometry-optimized V3AuO structure (PBE with a Hubbard U).

The total magnetization is 8.6 μB per formula unit. The value obtained for the total energy is -6.219 eV/atom. Its density of states at the Fermi level is 2.7 states/eV per cell.

Unit cell a=4.2661 b=4.2661 c=4.2661 alpha=90.00 beta=90.00 gamma=90.00
Last column: nearest neighbours and their distance in Å.
Element x y z (fractional)
V  0.0000  0.0000  0.5000  2 O 2.13
V  0.0000  0.5000  0.0000  2 O 2.13
V  0.5000  0.0000  0.0000  2 O 2.13
Au  0.5000  0.5000  0.5000  12 V 3.02
O  0.0000  0.0000  0.0000  6 V 2.13


Entry from the Alexandria database: a geometry-optimized VAu2O structure (PBE with a Hubbard U).

The total magnetization is 2.3 μB per formula unit. The value obtained for the total energy is -4.773 eV/atom. Its density of states at the Fermi level is 9.4 states/eV per cell.

Unit cell a=9.0506 b=9.0506 c=3.7146 alpha=90.00 beta=90.00 gamma=90.00
Last column: nearest neighbours and their distance in Å.
Element x y z (fractional)
V  0.0000  0.0000  0.0000  2 O 1.86
V  0.0000  0.5000  0.2500  2 O 1.86
V  0.5000  0.0000  0.7500  2 O 1.86
V  0.5000  0.5000  0.5000  2 O 1.86
Au  0.1433  0.2500  0.6250  2 O 2.65, 2 Au 2.68, 2 V 2.96
Au  0.2500  0.6433  0.8750  2 O 2.65, 2 Au 2.68, 2 V 2.96
Au  0.2500  0.8567  0.3750  2 O 2.65, 2 Au 2.68, 2 V 2.96
Au  0.3567  0.2500  0.1250  2 O 2.65, 2 Au 2.68, 2 V 2.96
Au  0.6433  0.7500  0.1250  2 O 2.65, 2 Au 2.68, 2 V 2.96
Au  0.7500  0.1433  0.3750  2 O 2.65, 2 Au 2.68, 2 V 2.96
Au  0.7500  0.3567  0.8750  2 O 2.65, 2 Au 2.68, 2 V 2.96
Au  0.8567  0.7500  0.6250  2 O 2.65, 2 Au 2.68, 2 V 2.96
O  0.0000  0.0000  0.5000  2 V 1.86
O  0.0000  0.5000  0.7500  2 V 1.86
O  0.5000  0.0000  0.2500  2 V 1.86
O  0.5000  0.5000  0.0000  2 V 1.86


Entry from the Alexandria database: a geometry-optimized WAuO3 structure (PBE with a Hubbard U).

The total magnetization is 3.4 μB per formula unit. The value obtained for the total energy is -4.442 eV/atom. Its density of states at the Fermi level is 2.6 states/eV per cell.

Unit cell a=4.0625 b=4.0625 c=4.0625 alpha=90.00 beta=90.00 gamma=90.00
Last column: nearest neighbours and their distance in Å.
Element x y z (fractional)
W  0.0000  0.0000  0.0000  12 O 2.87
Au  0.5000  0.5000  0.5000  6 O 2.03
O  0.0000  0.5000  0.5000  2 Au 2.03
O  0.5000  0.0000  0.5000  2 Au 2.03
O  0.5000  0.5000  0.0000  2 Au 2.03


Entry from the Alexandria database: a geometry-optimized WAuO3 structure (PBE with a Hubbard U).

The total magnetization is 0.0 μB per formula unit. The value obtained for the total energy is -6.031 eV/atom. Its density of states at the Fermi level is 1.4 states/eV per cell.

Unit cell a=3.9517 b=3.9517 c=3.9517 alpha=90.00 beta=90.00 gamma=90.00
Last column: nearest neighbours and their distance in Å.
Element x y z (fractional)
W  0.0000  0.0000  0.0000  6 O 1.98
Au  0.5000  0.5000  0.5000  12 O 2.79
O  0.0000  0.0000  0.5000  2 W 1.98
O  0.0000  0.5000  0.0000  2 W 1.98
O  0.5000  0.0000  0.0000  2 W 1.98


Entry from the Alexandria database: a geometry-optimized WAu2O structure (PBE with a Hubbard U).

The total magnetization is 3.1 μB per formula unit. The value obtained for the total energy is -4.330 eV/atom. Its density of states at the Fermi level is 8.6 states/eV per cell.

Unit cell a=7.5041 b=7.5041 c=4.8788 alpha=90.00 beta=90.00 gamma=90.00
Last column: nearest neighbours and their distance in Å.
Element x y z (fractional)
W  0.0000  0.0000  0.0000  2 O 2.44
W  0.0000  0.5000  0.2500  2 O 2.44
W  0.5000  0.0000  0.7500  2 O 2.44
W  0.5000  0.5000  0.5000  2 O 2.44
Au  0.2015  0.2500  0.6250  2 O 2.49, 2 Au 2.55
Au  0.2500  0.7015  0.8750  2 O 2.49, 2 Au 2.55
Au  0.2500  0.7985  0.3750  2 O 2.49, 2 Au 2.55
Au  0.2985  0.2500  0.1250  2 O 2.49, 2 Au 2.55
Au  0.7015  0.7500  0.1250  2 O 2.49, 2 Au 2.55
Au  0.7500  0.2015  0.3750  2 O 2.49, 2 Au 2.55
Au  0.7500  0.2985  0.8750  2 O 2.49, 2 Au 2.55
Au  0.7985  0.7500  0.6250  2 O 2.49, 2 Au 2.55
O  0.0000  0.0000  0.5000  2 W 2.44, 4 Au 2.49
O  0.0000  0.5000  0.7500  2 W 2.44, 4 Au 2.49
O  0.5000  0.0000  0.2500  2 W 2.44, 4 Au 2.49
O  0.5000  0.5000  0.0000  2 W 2.44, 4 Au 2.49


Entry from the Alexandria database: a geometry-optimized ZrWAu2O structure (PBE with a Hubbard U).

The total magnetization is 4.0 μB per formula unit. The value obtained for the total energy is -5.414 eV/atom. Its density of states at the Fermi level is 4.1 states/eV per cell.

Unit cell a=5.3780 b=5.3780 c=3.9396 alpha=90.00 beta=90.00 gamma=90.00
Last column: nearest neighbours and their distance in Å.
Element x y z (fractional)
Zr  0.0000  0.0000  0.0000  2 O 1.97
W  0.5000  0.5000  0.5000  8 Au 3.33
Au  0.0000  0.5000  0.0000  2 Zr 2.69
Au  0.5000  0.0000  0.0000  2 Zr 2.69
O  0.0000  0.0000  0.5000  2 Zr 1.97